DFT (PBE-GGA) results for a relaxed Al2ZnS4 crystal.

POSCAR file:
```
Al2ZnS4
1.0
0.206 0.198 6.408
2.831 5.500 1.698
-4.886 -1.132 -3.998
Al S Zn
2 4 1
Cartesian
1.518 2.849 4.053
-1.581 0.958 3.231
1.272 2.302 6.247
-0.510 2.946 3.027
-2.128 0.142 -1.021
-2.334 3.741 -0.038
0.000 0.000 0.000
```

Properties
Crystal system = tetragonal
Calculated volume = 148.14 Å³/cell
Energy = -4.62 eV per atom